(1)
# Mg2CuAu

A geometry-optimized Mg2CuAu structure (GGA-PBEsol, the Alexandria database).

Computed properties:
- energy (eV per atom) = -3.249
- magnetization (μB per cell) = 0.000

```
data_Mg2CuAu
_chemical_formula_sum 'Mg2 Cu1 Au1'
_space_group_name_H-M_alt 'P 4/m m m'
_space_group_IT_number 123
_space_group_name_Hall '-P 4 2'
_cell_length_a 3.204
_cell_length_b 3.204
_cell_length_c 6.286
_cell_angle_alpha 90.00
_cell_angle_beta 90.00
_cell_angle_gamma 90.00
loop_
_atom_site_label
_atom_site_type_symbol
_atom_site_fract_x
_atom_site_fract_y
_atom_site_fract_z
Mg1 Mg 0.000 0.000 0.241
Cu1 Cu 0.500 0.500 0.000
Au1 Au 0.500 0.500 0.500
```

=====

(2)
# Mg2Cu2Au

A geometry-optimized Mg2Cu2Au structure (GGA-PBEsol, the Alexandria database).

Computed properties:
- energy (eV per atom) = -2.986
- magnetization (μB per cell) = 0.000

```
data_Mg2Cu2Au
_chemical_formula_sum 'Mg4 Cu4 Au2'
_space_group_name_H-M_alt 'I 4/m m m'
_space_group_IT_number 139
_space_group_name_Hall '-I 4 2'
_cell_length_a 3.807
_cell_length_b 3.807
_cell_length_c 11.323
_cell_angle_alpha 90.00
_cell_angle_beta 90.00
_cell_angle_gamma 90.00
loop_
_atom_site_label
_atom_site_type_symbol
_atom_site_fract_x
_atom_site_fract_y
_atom_site_fract_z
Mg1 Mg 0.000 0.500 0.250
Cu1 Cu 0.000 0.000 0.098
Au1 Au 0.000 0.000 0.500
```

=====

(3)
# Mg2CuAu

A geometry-optimized Mg2CuAu structure (GGA-PBEsol, the Alexandria database).

Computed properties:
- energy (eV per atom) = -3.253
- magnetization (μB per cell) = 0.000

```
data_Mg2CuAu
_chemical_formula_sum 'Mg2 Cu1 Au1'
_space_group_name_H-M_alt 'P m m 2'
_space_group_IT_number 25
_space_group_name_Hall 'P 2 -2'
_cell_length_a 3.215
_cell_length_b 4.487
_cell_length_c 4.487
_cell_angle_alpha 90.00
_cell_angle_beta 90.00
_cell_angle_gamma 90.00
loop_
_atom_site_label
_atom_site_type_symbol
_atom_site_fract_x
_atom_site_fract_y
_atom_site_fract_z
Mg1 Mg 0.000 0.000 0.000
Mg2 Mg 0.000 0.500 0.498
Cu1 Cu 0.500 0.000 0.501
Au1 Au 0.500 0.500 0.997
```

=====

(4)
# Mg2CuAu

A geometry-optimized Mg2CuAu structure (GGA-PBEsol, the Alexandria database).

Computed properties:
- energy (eV per atom) = -3.238
- magnetization (μB per cell) = 0.000

```
data_Mg2CuAu
_chemical_formula_sum 'Mg4 Cu2 Au2'
_space_group_name_H-M_alt 'I m m 2'
_space_group_IT_number 44
_space_group_name_Hall 'I 2 -2'
_cell_length_a 3.830
_cell_length_b 3.955
_cell_length_c 8.407
_cell_angle_alpha 90.00
_cell_angle_beta 90.00
_cell_angle_gamma 90.00
loop_
_atom_site_label
_atom_site_type_symbol
_atom_site_fract_x
_atom_site_fract_y
_atom_site_fract_z
Mg1 Mg 0.000 0.000 0.000
Mg2 Mg 0.000 0.500 0.246
Cu1 Cu 0.000 0.500 0.749
Au1 Au 0.000 0.000 0.495
```

=====

(5)
# MnCu2Au

A geometry-optimized MnCu2Au structure (GGA-PBEsol, the Alexandria database).

Computed properties:
- energy (eV per atom) = -5.471
- magnetization (μB per cell) = 7.615

```
data_MnCu2Au
_chemical_formula_sum 'Mn2 Cu4 Au2'
_space_group_name_H-M_alt 'C 1 m 1'
_space_group_IT_number 8
_space_group_name_Hall 'C -2y'
_cell_length_a 8.796
_cell_length_b 2.805
_cell_length_c 4.456
_cell_angle_alpha 90.00
_cell_angle_beta 103.21
_cell_angle_gamma 90.00
loop_
_atom_site_label
_atom_site_type_symbol
_atom_site_fract_x
_atom_site_fract_y
_atom_site_fract_z
Mn1 Mn 0.000 0.000 0.000
Cu1 Cu 0.249 0.500 0.243
Cu2 Cu 0.491 0.000 0.478
Au1 Au 0.244 0.000 0.738
```

=====

(6)
# Mn2CuAu

A geometry-optimized Mn2CuAu structure (GGA-PBEsol, the Alexandria database).

Computed properties:
- energy (eV per atom) = -6.690
- magnetization (μB per cell) = 30.903

```
data_Mn2CuAu
_chemical_formula_sum 'Mn8 Cu4 Au4'
_space_group_name_H-M_alt 'F -4 3 m'
_space_group_IT_number 216
_space_group_name_Hall 'F -4 2 3'
_cell_length_a 6.063
_cell_length_b 6.063
_cell_length_c 6.063
_cell_angle_alpha 90.00
_cell_angle_beta 90.00
_cell_angle_gamma 90.00
loop_
_atom_site_label
_atom_site_type_symbol
_atom_site_fract_x
_atom_site_fract_y
_atom_site_fract_z
Mn1 Mn 0.000 0.000 0.000
Mn2 Mn 0.250 0.250 0.250
Cu1 Cu 0.250 0.250 0.750
Au1 Au 0.000 0.000 0.500
```

=====

(7)
# Mn2CuAu

A geometry-optimized Mn2CuAu structure (GGA-PBEsol, the Alexandria database).

Computed properties:
- energy (eV per atom) = -6.727
- magnetization (μB per cell) = 7.522

```
data_Mn2CuAu
_chemical_formula_sum 'Mn2 Cu1 Au1'
_space_group_name_H-M_alt 'P 4/m m m'
_space_group_IT_number 123
_space_group_name_Hall '-P 4 2'
_cell_length_a 3.890
_cell_length_b 3.890
_cell_length_c 3.686
_cell_angle_alpha 90.00
_cell_angle_beta 90.00
_cell_angle_gamma 90.00
loop_
_atom_site_label
_atom_site_type_symbol
_atom_site_fract_x
_atom_site_fract_y
_atom_site_fract_z
Mn1 Mn 0.000 0.500 0.000
Cu1 Cu 0.000 0.000 0.500
Au1 Au 0.500 0.500 0.500
```

=====

(8)
# MnCuAu2

A geometry-optimized MnCuAu2 structure (GGA-PBEsol, the Alexandria database).

Computed properties:
- energy (eV per atom) = -5.432
- magnetization (μB per cell) = 8.084

```
data_MnCuAu2
_chemical_formula_sum 'Mn2 Cu2 Au4'
_space_group_name_H-M_alt 'C m m m'
_space_group_IT_number 65
_space_group_name_Hall '-C 2 2'
_cell_length_a 5.728
_cell_length_b 7.114
_cell_length_c 2.923
_cell_angle_alpha 90.00
_cell_angle_beta 90.00
_cell_angle_gamma 90.00
loop_
_atom_site_label
_atom_site_type_symbol
_atom_site_fract_x
_atom_site_fract_y
_atom_site_fract_z
Mn1 Mn 0.000 0.000 0.000
Cu1 Cu 0.000 0.500 0.000
Au1 Au 0.250 0.250 0.500
```

=====

(9)
# MnCuAu

A geometry-optimized MnCuAu structure (GGA-PBEsol, the Alexandria database).

Computed properties:
- energy (eV per atom) = -5.962
- magnetization (μB per cell) = 7.736

```
data_MnCuAu
_chemical_formula_sum 'Mn2 Cu2 Au2'
_space_group_name_H-M_alt 'I m m 2'
_space_group_IT_number 44
_space_group_name_Hall 'I 2 -2'
_cell_length_a 3.111
_cell_length_b 3.288
_cell_length_c 8.232
_cell_angle_alpha 90.00
_cell_angle_beta 90.00
_cell_angle_gamma 90.00
loop_
_atom_site_label
_atom_site_type_symbol
_atom_site_fract_x
_atom_site_fract_y
_atom_site_fract_z
Mn1 Mn 0.000 0.000 0.000
Cu1 Cu 0.000 0.000 0.344
Au1 Au 0.000 0.000 0.673
```

=====

(10)
# MnCu2Au

A geometry-optimized MnCu2Au structure (GGA-PBEsol, the Alexandria database).

Computed properties:
- energy (eV per atom) = -5.493
- magnetization (μB per cell) = 3.786

```
data_MnCu2Au
_chemical_formula_sum 'Mn1 Cu2 Au1'
_space_group_name_H-M_alt 'P m m m'
_space_group_IT_number 47
_space_group_name_Hall '-P 2 2'
_cell_length_a 3.092
_cell_length_b 3.129
_cell_length_c 5.511
_cell_angle_alpha 90.00
_cell_angle_beta 90.00
_cell_angle_gamma 90.00
loop_
_atom_site_label
_atom_site_type_symbol
_atom_site_fract_x
_atom_site_fract_y
_atom_site_fract_z
Mn1 Mn 0.000 0.000 0.000
Cu1 Cu 0.500 0.500 0.234
Au1 Au 0.000 0.000 0.500
```

=====

(11)
# MnCu2Au

A geometry-optimized MnCu2Au structure (GGA-PBEsol, the Alexandria database).

Computed properties:
- energy (eV per atom) = -5.553
- magnetization (μB per cell) = 7.865

```
data_MnCu2Au
_chemical_formula_sum 'Mn2 Cu4 Au2'
_space_group_name_H-M_alt 'I 4/m m m'
_space_group_IT_number 139
_space_group_name_Hall '-I 4 2'
_cell_length_a 3.783
_cell_length_b 3.783
_cell_length_c 7.437
_cell_angle_alpha 90.00
_cell_angle_beta 90.00
_cell_angle_gamma 90.00
loop_
_atom_site_label
_atom_site_type_symbol
_atom_site_fract_x
_atom_site_fract_y
_atom_site_fract_z
Mn1 Mn 0.000 0.000 0.000
Cu1 Cu 0.000 0.500 0.250
Au1 Au 0.000 0.000 0.500
```

=====

(12)
# MnCuAu2

A geometry-optimized MnCuAu2 structure (GGA-PBEsol, the Alexandria database).

Computed properties:
- energy (eV per atom) = -5.486
- magnetization (μB per cell) = 8.243

```
data_MnCuAu2
_chemical_formula_sum 'Mn2 Cu2 Au4'
_space_group_name_H-M_alt 'I -4 m 2'
_space_group_IT_number 119
_space_group_name_Hall 'I -4 -2'
_cell_length_a 3.850
_cell_length_b 3.850
_cell_length_c 8.014
_cell_angle_alpha 90.00
_cell_angle_beta 90.00
_cell_angle_gamma 90.00
loop_
_atom_site_label
_atom_site_type_symbol
_atom_site_fract_x
_atom_site_fract_y
_atom_site_fract_z
Mn1 Mn 0.000 0.000 0.000
Cu1 Cu 0.000 0.500 0.250
Au1 Au 0.000 0.000 0.500
Au2 Au 0.000 0.500 0.750
```

=====

(13)
# MnCuAu2

A geometry-optimized MnCuAu2 structure (GGA-PBEsol, the Alexandria database).

Computed properties:
- energy (eV per atom) = -5.442
- magnetization (μB per cell) = 7.886

```
data_MnCuAu2
_chemical_formula_sum 'Mn2 Cu2 Au4'
_space_group_name_H-M_alt 'C 1 m 1'
_space_group_IT_number 8
_space_group_name_Hall 'C -2y'
_cell_length_a 9.143
_cell_length_b 2.995
_cell_length_c 4.495
_cell_angle_alpha 90.00
_cell_angle_beta 105.19
_cell_angle_gamma 90.00
loop_
_atom_site_label
_atom_site_type_symbol
_atom_site_fract_x
_atom_site_fract_y
_atom_site_fract_z
Mn1 Mn 0.000 0.000 0.000
Cu1 Cu 0.237 0.500 0.271
Au1 Au 0.250 0.000 0.787
Au2 Au 0.486 0.000 0.483
```

=====

(14)
# MnCu2Au

A geometry-optimized MnCu2Au structure (GGA-PBEsol, the Alexandria database).

Computed properties:
- energy (eV per atom) = -5.479
- magnetization (μB per cell) = 7.413

```
data_MnCu2Au
_chemical_formula_sum 'Mn2 Cu4 Au2'
_space_group_name_H-M_alt 'C 1 2/m 1'
_space_group_IT_number 12
_space_group_name_Hall '-C 2y'
_cell_length_a 8.678
_cell_length_b 2.771
_cell_length_c 4.552
_cell_angle_alpha 90.00
_cell_angle_beta 101.49
_cell_angle_gamma 90.00
loop_
_atom_site_label
_atom_site_type_symbol
_atom_site_fract_x
_atom_site_fract_y
_atom_site_fract_z
Mn1 Mn 0.000 0.000 0.000
Cu1 Cu 0.247 0.500 0.236
Au1 Au 0.000 0.500 0.500
```

=====

(15)
# Mn2CuAu

A geometry-optimized Mn2CuAu structure (GGA-PBEsol, the Alexandria database).

Computed properties:
- energy (eV per atom) = -6.716
- magnetization (μB per cell) = 15.065

```
data_Mn2CuAu
_chemical_formula_sum 'Mn4 Cu2 Au2'
_space_group_name_H-M_alt 'I -4 m 2'
_space_group_IT_number 119
_space_group_name_Hall 'I -4 -2'
_cell_length_a 3.803
_cell_length_b 3.803
_cell_length_c 7.683
_cell_angle_alpha 90.00
_cell_angle_beta 90.00
_cell_angle_gamma 90.00
loop_
_atom_site_label
_atom_site_type_symbol
_atom_site_fract_x
_atom_site_fract_y
_atom_site_fract_z
Mn1 Mn 0.000 0.000 0.000
Mn2 Mn 0.000 0.500 0.250
Cu1 Cu 0.000 0.500 0.750
Au1 Au 0.000 0.000 0.500
```

=====

(16)
# MnCuAu2

A geometry-optimized MnCuAu2 structure (GGA-PBEsol, the Alexandria database).

Computed properties:
- energy (eV per atom) = -5.400
- magnetization (μB per cell) = 15.915

```
data_MnCuAu2
_chemical_formula_sum 'Mn4 Cu4 Au8'
_space_group_name_H-M_alt 'F -4 3 m'
_space_group_IT_number 216
_space_group_name_Hall 'F -4 2 3'
_cell_length_a 6.220
_cell_length_b 6.220
_cell_length_c 6.220
_cell_angle_alpha 90.00
_cell_angle_beta 90.00
_cell_angle_gamma 90.00
loop_
_atom_site_label
_atom_site_type_symbol
_atom_site_fract_x
_atom_site_fract_y
_atom_site_fract_z
Mn1 Mn 0.000 0.000 0.000
Cu1 Cu 0.250 0.250 0.250
Au1 Au 0.000 0.000 0.500
Au2 Au 0.250 0.250 0.750
```

=====

(17)
# MnCuAu2

A geometry-optimized MnCuAu2 structure (GGA-PBEsol, the Alexandria database).

Computed properties:
- energy (eV per atom) = -5.342
- magnetization (μB per cell) = 11.499

```
data_MnCuAu2
_chemical_formula_sum 'Mn3 Cu3 Au6'
_space_group_name_H-M_alt 'R -3 m'
_space_group_IT_number 166
_space_group_name_Hall '-R 3 2"'
_cell_length_a 2.8575
_cell_length_b 2.8575
_cell_length_c 25.5350
_cell_angle_alpha 90.00
_cell_angle_beta 90.00
_cell_angle_gamma 120.00
loop_
_atom_site_label
_atom_site_type_symbol
_atom_site_fract_x
_atom_site_fract_y
_atom_site_fract_z
Mn1 Mn 0.0000 0.0000 0.0000
Cu1 Cu 0.0000 0.0000 0.5000
Au1 Au 0.0000 0.0000 0.2487
```

=====

(18)
# MnCuAu2

A geometry-optimized MnCuAu2 structure (GGA-PBEsol, the Alexandria database).

Computed properties:
- energy (eV per atom) = -5.436
- magnetization (μB per cell) = 4.029

```
data_MnCuAu2
_chemical_formula_sum 'Mn1 Cu1 Au2'
_space_group_name_H-M_alt 'P 4 m m'
_space_group_IT_number 99
_space_group_name_Hall 'P 4 -2'
_cell_length_a 3.210
_cell_length_b 3.210
_cell_length_c 5.794
_cell_angle_alpha 90.00
_cell_angle_beta 90.00
_cell_angle_gamma 90.00
loop_
_atom_site_label
_atom_site_type_symbol
_atom_site_fract_x
_atom_site_fract_y
_atom_site_fract_z
Mn1 Mn 0.000 0.000 0.000
Cu1 Cu 0.500 0.500 0.770
Au1 Au 0.000 0.000 0.537
Au2 Au 0.500 0.500 0.243
```

=====

(19)
# Mn2CuAu

A geometry-optimized Mn2CuAu structure (GGA-PBEsol, the Alexandria database).

Computed properties:
- energy (eV per atom) = -6.721
- magnetization (μB per cell) = 14.928

```
data_Mn2CuAu
_chemical_formula_sum 'Mn4 Cu2 Au2'
_space_group_name_H-M_alt 'I 4/m m m'
_space_group_IT_number 139
_space_group_name_Hall '-I 4 2'
_cell_length_a 3.886
_cell_length_b 3.886
_cell_length_c 7.379
_cell_angle_alpha 90.00
_cell_angle_beta 90.00
_cell_angle_gamma 90.00
loop_
_atom_site_label
_atom_site_type_symbol
_atom_site_fract_x
_atom_site_fract_y
_atom_site_fract_z
Mn1 Mn 0.000 0.500 0.250
Cu1 Cu 0.000 0.000 0.000
Au1 Au 0.000 0.000 0.500
```

=====

(20)
# MnCu2Au

A geometry-optimized MnCu2Au structure (GGA-PBEsol, the Alexandria database).

Computed properties:
- energy (eV per atom) = -5.491
- magnetization (μB per cell) = 15.332

```
data_MnCu2Au
_chemical_formula_sum 'Mn4 Cu8 Au4'
_space_group_name_H-M_alt 'F -4 3 m'
_space_group_IT_number 216
_space_group_name_Hall 'F -4 2 3'
_cell_length_a 5.994
_cell_length_b 5.994
_cell_length_c 5.994
_cell_angle_alpha 90.00
_cell_angle_beta 90.00
_cell_angle_gamma 90.00
loop_
_atom_site_label
_atom_site_type_symbol
_atom_site_fract_x
_atom_site_fract_y
_atom_site_fract_z
Mn1 Mn 0.000 0.000 0.000
Cu1 Cu 0.000 0.000 0.500
Cu2 Cu 0.250 0.250 0.750
Au1 Au 0.250 0.250 0.250
```

=====

Table of N(E_F) (states/eV/f.u.), in record order: 1.18, 1.31, 1.21, 0.94, 2.05, 2.20, 3.01, 2.06, 1.01, 1.81, 1.56, 1.48, 1.90, 1.79, 3.01, 1.70, 2.28, 1.65, 3.06, 1.74
Table of formation energy from the elements (eV/atom), in record order: -0.33, 0.22, -0.33, -0.31, 0.12, 0.25, 0.22, 0.05, 0.04, 0.10, 0.03, 0.00, 0.04, 0.11, 0.23, 0.09, 0.14, 0.05, 0.22, 0.10